Entry 1:
# CdInPt2 (PBE, relaxed)
# Uncorrected energy ... -34.119 eV for the cell shown
# E_form ... -1.32 eV per formula unit
data_CdInPt2
_space_group_name_H-M_alt 'C 1 m 1'
_space_group_IT_number 8
_cell_length_a 10.368
_cell_length_b 2.985
_cell_length_c 4.854
_cell_angle_alpha 90.00
_cell_angle_beta 104.43
_cell_angle_gamma 90.00
loop_
_space_group_symop_operation_xyz
'x,y,z'
'x,-y,z'
'x+1/2,y+1/2,z'
'x+1/2,-y+1/2,z'
loop_
_atom_site_label
_atom_site_fract_x
_atom_site_fract_y
_atom_site_fract_z
Cd1 0.000 0.000 0.000
In1 0.289 0.500 0.387
Pt1 0.033 0.500 0.514
Pt2 0.252 0.000 0.873

=====

Entry 2:
# CdInPt2 (PBE, relaxed)
# Uncorrected energy ... -34.449 eV for the cell shown
# E_form ... -1.49 eV per formula unit
data_CdInPt2
_space_group_name_H-M_alt 'C 1 2/m 1'
_space_group_IT_number 12
_cell_length_a 5.985
_cell_length_b 7.340
_cell_length_c 3.253
_cell_angle_alpha 90.00
_cell_angle_beta 90.24
_cell_angle_gamma 90.00
loop_
_space_group_symop_operation_xyz
'x,y,z'
'-x,-y,-z'
'-x,y,-z'
'x,-y,z'
'x+1/2,y+1/2,z'
'-x+1/2,-y+1/2,-z'
'-x+1/2,y+1/2,-z'
'x+1/2,-y+1/2,z'
loop_
_atom_site_label
_atom_site_fract_x
_atom_site_fract_y
_atom_site_fract_z
Cd1 0.000 0.000 0.000
In1 0.000 0.500 0.000
Pt1 0.250 0.250 0.500